No. 1
Compound: Rb2AsWBr6
Source: Alexandria
Functional: GGA-PBE
Structure: optimized geometry

The calculation puts the total DFT energy (no corrections) at -3.58 eV per atom. Its density of states at the Fermi level is 5.1 states/eV per cell. The uncorrected formation energy is -0.63 eV/atom.

It has space group I4/mmm (No. 139), with a = 7.5705 Å, b = 7.5705 Å, c = 12.3047 Å, α = 90.00°, β = 90.00° and γ = 90.00°. The asymmetric unit holds Rb at (0.0000, 0.5000, 0.2500), As at (0.0000, 0.0000, 0.0000), W at (0.0000, 0.0000, 0.5000), Br at (0.0000, 0.0000, 0.2885) and Br at (0.2453, 0.2453, 0.5000).

No. 2
Compound: RbAs2WBr
Source: Alexandria
Functional: GGA-PBE
Structure: optimized geometry

Its energy above the lowest structure with this stoichiometry is 0.000 eV/atom. The calculation puts the total DFT energy (no corrections) at -5.10 eV per atom. Its density of states at the Fermi level is 4.1 states/eV per cell. The uncorrected formation energy is -0.12 eV/atom.

It has space group P4/mmm (No. 123), with a = 4.8815 Å, b = 4.8815 Å, c = 5.8444 Å, α = 90.00°, β = 90.00° and γ = 90.00°. The asymmetric unit holds Rb at (0.0000, 0.0000, 0.0000), As at (0.0000, 0.5000, 0.5000), W at (0.5000, 0.5000, 0.5000) and Br at (0.5000, 0.5000, 0.0000).

No. 3
Compound: RbAs2WBr
Source: Alexandria
Functional: GGA-PBE
Structure: optimized geometry

Its energy above the lowest structure with this stoichiometry is 2.326 eV/atom. The calculation puts the total DFT energy (no corrections) at -2.77 eV per atom. Its density of states at the Fermi level is 5.5 states/eV per cell. The uncorrected formation energy is 2.20 eV/atom.

It has space group P4/mmm (No. 123), with a = 5.6972 Å, b = 5.6972 Å, c = 5.7716 Å, α = 90.00°, β = 90.00° and γ = 90.00°. The asymmetric unit holds Rb at (0.0000, 0.0000, 0.0000), As at (0.0000, 0.5000, 0.0000), W at (0.5000, 0.5000, 0.5000) and Br at (0.0000, 0.0000, 0.5000).

> Which value of total DFT energy (no corrections) does entry 3 give?

-2.77 eV per atom

> The lowest total DFT energy (no corrections) belongs to which entry?

number 2

> Number 2 is which compound?

RbAs2WBr

> total DFT energy (no corrections) of number 3 (RbAs2WBr)?

-2.77 eV per atom